[1]
VASP calculation (PBE) on a geometry-optimized LiC structure.

The value obtained for the energy above the most stable polymorph in this dataset is 0.23 eV/f.u. Its magnetization is 0.0 Bohr magnetons per cell. As for the electronic total energy: -5.437 eV/atom. The energy of formation from the pure elements is 0.132 eV per atom.

a b c (Å): 4.656 8.741 12.366
angles (deg): 90.00 90.00 90.00
Space group Fddd (No. 70, origin choice 2)
One atom of each set of equivalent atoms:
Li1 0.125 0.125 0.302 (multiplicity 16)
C1 0.125 0.053 0.125 (multiplicity 16)

---

[2]
VASP calculation (PBE) on a geometry-optimized Na3Er2TiSe6 structure.

Its magnetization is 2.0 Bohr magnetons per cell. The formation energy without anion corrections is -1.494 eV per atom. As for the electronic total energy: -4.984 eV/atom.

a b c (Å): 6.945 12.033 7.372
angles (deg): 90.00 108.35 90.00
Space group C2/m (No. 12)
One atom of each set of equivalent atoms:
Na1 0.000 0.000 0.000 (multiplicity 2)
Na2 0.000 0.330 0.000 (multiplicity 4)
Er1 0.000 0.167 0.500 (multiplicity 4)
Ti1 0.000 0.500 0.500 (multiplicity 2)
Se1 0.233 0.342 0.723 (multiplicity 8)
Se2 0.241 0.500 0.279 (multiplicity 4)

---

[3]
VASP calculation (PBE) on a geometry-optimized LiAc4Al3O12 structure.

Its magnetization is 3.9 Bohr magnetons per cell. The formation energy without anion corrections is -2.962 eV per atom. As for the electronic total energy: -7.416 eV/atom.

a b c (Å): 7.824 7.824 7.824
angles (deg): 90.00 90.00 90.00
Space group Im-3m (No. 229)
One atom of each set of equivalent atoms:
Li1 0.000 0.000 0.000 (multiplicity 2)
Ac1 0.250 0.250 0.250 (multiplicity 8)
Al1 0.000 0.000 0.500 (multiplicity 6)
O1 0.000 0.000 0.264 (multiplicity 12)
O2 0.000 0.250 0.500 (multiplicity 12)

---

[4]
VASP calculation (PBE) on a geometry-optimized Ba2US2N2 structure.

Its magnetization is 0.2 Bohr magnetons per cell. The formation energy without anion corrections is -1.629 eV per atom. As for the electronic total energy: -7.349 eV/atom.

a b c (Å): 4.382 4.382 16.523
angles (deg): 90.00 90.00 90.00
Space group I4/mmm (No. 139)
One atom of each set of equivalent atoms:
Ba1 0.000 0.000 0.137 (multiplicity 4)
U1 0.000 0.000 0.500 (multiplicity 2)
S1 0.000 0.000 0.335 (multiplicity 4)
N1 0.000 0.500 0.000 (multiplicity 4)

---

[5]
VASP calculation (PBE) on a geometry-optimized NiBPb3 structure.

The value obtained for the energy above the most stable polymorph in this dataset is 0.05 eV/f.u. Its magnetization is 0.0 Bohr magnetons per cell. As for the electronic total energy: -3.713 eV/atom. The energy of formation from the pure elements is 1.004 eV per atom.

a b c (Å): 5.089 5.089 5.089
angles (deg): 90.00 90.00 90.00
Space group Pm-3m (No. 221)
One atom of each set of equivalent atoms:
Ni1 0.000 0.000 0.000 (multiplicity 1)
B1 0.500 0.500 0.500 (multiplicity 1)
Pb1 0.000 0.000 0.500 (multiplicity 3)

---

[6]
VASP calculation (PBE) on a geometry-optimized CaSb2Mo structure.

The value obtained for the energy above the most stable polymorph in this dataset is 2.16 eV/f.u. Its magnetization is 0.0 Bohr magnetons per cell. The formation energy without anion corrections is 0.298 eV per atom. As for the electronic total energy: -4.971 eV/atom.

a b c (Å): 3.4683 3.4683 28.6583
angles (deg): 90.00 90.00 120.00
Space group R3m (No. 160, hexagonal axes)
One atom of each set of equivalent atoms:
Ca1 0.0000 0.0000 0.0000 (multiplicity 3)
Sb1 0.0000 0.0000 0.5187 (multiplicity 3)
Sb2 0.0000 0.0000 0.7591 (multiplicity 3)
Mo1 0.0000 0.0000 0.2484 (multiplicity 3)

---

What is the formula in the first record?
LiC

---

What is the formula in the second record?
Na3Er2TiSe6